Entry from Alexandria: an optimized crystal structure of CrCd2Si (PBE).

```
data_CrCd2Si
_chemical_formula_sum 'Cr2 Cd4 Si2'
_cell_length_a 6.448
_cell_length_b 6.448
_cell_length_c 6.448
_cell_angle_alpha 98.70
_cell_angle_beta 98.70
_cell_angle_gamma 134.22
_space_group_name_H-M_alt 'P 1'
_space_group_IT_number 1
loop_
_space_group_symop_operation_xyz
'x,y,z'
loop_
_atom_site_label
_atom_site_fract_x
_atom_site_fract_y
_atom_site_fract_z
Cr1 0.000 0.000 0.000
Cr2 0.750 0.250 0.500
Cd1 0.196 0.625 0.071
Cd2 0.375 0.446 0.571
Cd3 0.554 0.125 0.929
Cd4 0.875 0.804 0.429
Si1 0.250 0.750 0.500
Si2 0.500 0.500 0.000
```

Output
**Total DFT energy (no corrections)**: -3.657 eV/atom
**V**: 177.0 Å³ per cell



Entry from Alexandria: an optimized crystal structure of Cr2CdSi (PBE).

```
data_Cr2CdSi
_chemical_formula_sum 'Cr2 Cd1 Si1'
_cell_length_a 4.803
_cell_length_b 4.803
_cell_length_c 4.803
_cell_angle_alpha 131.35
_cell_angle_beta 131.35
_cell_angle_gamma 71.26
_space_group_name_H-M_alt 'P 1'
_space_group_IT_number 1
loop_
_space_group_symop_operation_xyz
'x,y,z'
loop_
_atom_site_label
_atom_site_fract_x
_atom_site_fract_y
_atom_site_fract_z
Cr1 0.000 0.000 0.000
Cr2 0.750 0.250 0.500
Cd1 0.500 0.500 0.000
Si1 0.250 0.750 0.500
```

Output
**Total DFT energy (no corrections)**: -6.048 eV/atom
**V**: 61.1 Å³ per cell



Entry from Alexandria: an optimized crystal structure of CrCd2Si (PBE).

```
data_CrCd2Si
_chemical_formula_sum 'Cr1 Cd2 Si1'
_cell_length_a 5.990
_cell_length_b 5.990
_cell_length_c 3.007
_cell_angle_alpha 103.74
_cell_angle_beta 103.74
_cell_angle_gamma 125.15
_space_group_name_H-M_alt 'P 1'
_space_group_IT_number 1
loop_
_space_group_symop_operation_xyz
'x,y,z'
loop_
_atom_site_label
_atom_site_fract_x
_atom_site_fract_y
_atom_site_fract_z
Cr1 0.000 0.000 0.000
Cd1 0.000 0.500 0.000
Cd2 0.500 0.000 0.000
Si1 0.500 0.500 0.000
```

Output
**Total DFT energy (no corrections)**: -3.797 eV/atom
**V**: 75.6 Å³ per cell



Entry from Alexandria: an optimized crystal structure of Cr2CdSi (PBE).

```
data_Cr2CdSi
_chemical_formula_sum 'Cr2 Cd1 Si1'
_cell_length_a 3.121
_cell_length_b 3.121
_cell_length_c 5.995
_cell_angle_alpha 90.00
_cell_angle_beta 90.00
_cell_angle_gamma 90.00
_space_group_name_H-M_alt 'P 1'
_space_group_IT_number 1
loop_
_space_group_symop_operation_xyz
'x,y,z'
loop_
_atom_site_label
_atom_site_fract_x
_atom_site_fract_y
_atom_site_fract_z
Cr1 0.000 0.000 0.178
Cr2 0.000 0.000 0.822
Cd1 0.500 0.500 0.500
Si1 0.500 0.500 0.000
```

Output
**Total DFT energy (no corrections)**: -6.215 eV/atom
**V**: 58.4 Å³ per cell